Here is a relaxed AcGeN2 crystal from Alexandria. Energies are from PBE-GGA.

Lattice parameters (Å, degrees): 5.819 8.558 7.304 124.54 90.00 90.00
Element x y z (fractional)
Ge 0.448 0.668 0.083
Ac 0.957 0.651 0.847
Ac 0.457 0.849 0.653
N 0.697 0.829 0.252
N 0.618 0.238 0.087
N 0.382 0.762 0.913
Ac 0.043 0.349 0.153
N 0.197 0.671 0.248
N 0.303 0.171 0.748
Ge 0.948 0.832 0.417
Ge 0.552 0.332 0.917
N 0.882 0.738 0.587
N 0.118 0.262 0.413
N 0.803 0.329 0.752
Ac 0.543 0.151 0.347
Ge 0.052 0.168 0.583

Properties
E_tot ... -27.9 eV per formula unit
Size of the total moment ... 0.00 μB per formula unit
Uncorrected formation energy ... -625 meV per atom
Excess energy over the best structure of this formula in the dataset ... 0.023 eV per atom
Space-group type ... P2_1/c, No. 14



Here is a relaxed Ac3GeN5 crystal from Alexandria. Energies are from PBE-GGA.

Lattice parameters (Å, degrees): 7.156 7.156 7.774 117.40 117.40 90.00
Each line ends with the local moment (μB).
Element x y z (fractional)
Ge 0.250 0.750 0.500  -0.01
N 0.006 0.506 0.298  0.22
Ge 0.750 0.250 0.500  -0.01
N 0.293 0.793 0.298  0.22
Ac 0.750 0.750 0.500  -0.01
Ac 0.179 0.321 0.000  0.04
N 0.000 0.000 0.000  0.47
N 0.707 0.207 0.702  0.22
N 0.207 0.994 0.702  0.22
N 0.793 0.006 0.298  0.22
N 0.494 0.707 0.702  0.22
Ac 0.679 0.179 0.000  0.04
Ac 0.250 0.250 0.500  -0.01
Ac 0.321 0.821 0.000  0.04
N 0.506 0.293 0.298  0.22
Ac 0.821 0.679 0.000  0.04
N 0.500 0.500 0.000  0.47
N 0.994 0.494 0.702  0.22

Properties
E_tot ... -64.6 eV per formula unit
Size of the total moment ... 1.95 μB per formula unit
Uncorrected formation energy ... -675 meV per atom
Space-group type ... I4/mcm, No. 140